## K3BiH (GGA-PBE)

Data for K3BiH after structural relaxation.

## Properties
**VASP energy**: -2.349 eV per atom
**Polymorph energy (0 for the lowest one)**: 0.000 eV per formula unit
**Volume**: 168.4 Å³/f.u.
**SG**: Pm-3m, No. 221

The structure in POSCAR format:
```
K3BiH
1.0
5.522 0.000 0.000
0.000 5.522 0.000
0.000 0.000 5.522
K Bi H
3 1 1
Direct
0.000 0.000 0.500
0.000 0.500 0.000
0.500 0.000 0.000
0.500 0.500 0.500
0.000 0.000 0.000
```